Ac2Pa3N8 | PBE | optimized geometry

a = 7.0799 Å, b = 3.6560 Å, c = 9.4079 Å
α = 90.00°, β = 97.49°, γ = 90.00°
Last column: nearest neighbours and their distance in Å.
Space group P2/m (No. 10)
Symmetry-distinct sites (fractional):
1 Ac 0.2210 0.0000 0.1611 [2 per cell]  4 N 2.41-2.70
2 Pa 0.0000 0.0000 0.5000 [1 per cell]  6 N 2.19-2.43
3 Pa 0.2406 0.5000 0.7934 [2 per cell]  6 N 2.27-2.50
4 N 0.0538 0.5000 0.3400 [2 per cell]  3 Pa 2.29-2.43
5 N 0.1376 0.0000 0.9040 [2 per cell]  2 Pa 2.27, 2 Ac 2.41-2.53
6 N 0.2669 0.0000 0.6476 [2 per cell]  3 Pa 2.19-2.31
7 N 0.4438 0.5000 0.0520 [2 per cell]  1 N 1.34

## Properties
- raw formation energy (kcal/mol of atoms) = -28.354
- polymorph energy (0 for the lowest one) (kJ/mol of formula units) = 0.0
- total moment (μB per atom) = 0.08

AlCSe2 | PBE | optimized geometry

a = 3.1452 Å, b = 3.1452 Å, c = 24.2810 Å
α = 90.00°, β = 90.00°, γ = 120.00°
Last column: nearest neighbours and their distance in Å.
Space group R-3m (No. 166, hexagonal axes)
Symmetry-distinct sites (fractional):
1 Al 0.0000 0.0000 0.0000 [3 per cell]  2 Se 2.65
2 C 0.0000 0.0000 0.5000 [3 per cell]  6 Se 2.29
3 Se 0.0000 0.0000 0.1093 [6 per cell]  3 C 2.29

## Properties
- raw formation energy (kcal/mol of atoms) = 25.738
- polymorph energy (0 for the lowest one) (kJ/mol of formula units) = 116.2
- total moment (μB per atom) = 0.00

SrNdHg6 | PBE | optimized geometry

a = 5.2094 Å, b = 6.8685 Å, c = 11.8764 Å
α = 90.00°, β = 90.00°, γ = 90.00°
Last column: nearest neighbours and their distance in Å.
Space group Amm2 (No. 38)
Symmetry-distinct sites (fractional):
1 Sr 0.0000 0.0000 0.0000 [2 per cell]  12 Hg 3.34-3.43
2 Nd 0.5000 0.0000 0.6685 [2 per cell]  12 Hg 3.28-3.44
3 Hg 0.0000 0.0000 0.5001 [2 per cell]  8 Hg 3.24-3.45, 2 Nd 3.28, 2 Sr 3.43
4 Hg 0.0000 0.2471 0.2512 [4 per cell]  8 Hg 3.23-3.47, 2 Nd 3.28, 2 Sr 3.43
5 Hg 0.5000 0.0000 0.1760 [2 per cell]  8 Hg 3.23-3.61, 2 Sr 3.34, 2 Nd 3.44
6 Hg 0.5000 0.2356 0.4132 [4 per cell]  7 Hg 3.24-3.61, 2 Sr 3.34, 2 Nd 3.43-3.44

## Properties
- energy of formation (eV per formula unit) = -3.1
- total moment (μB per atom) = 0.00

BeAlIn | PBE | optimized geometry

a = 3.7711 Å, b = 4.6980 Å, c = 6.2524 Å
α = 100.53°, β = 105.76°, γ = 90.38°
Last column: nearest neighbours and their distance in Å.
Space group P1 (No. 1)
Symmetry-distinct sites (fractional):
1 Be 0.0000 0.0000 0.0000 [1 per cell]  2 Be 2.20-2.22, 1 Al 2.41
2 Be 0.4634 0.7566 0.9184 [1 per cell]  2 Be 2.20-2.22, 1 Al 2.42
3 Al 0.0561 0.5398 0.1226 [1 per cell]  4 Be 2.41-2.57
4 Al 0.6218 0.1070 0.2713 [1 per cell]  3 Be 2.42-2.49
5 In 0.3851 0.2202 0.7403 [1 per cell]  4 Be 2.54-2.77
6 In 0.7987 0.6820 0.5569 [1 per cell]  3 Be 2.79-2.85, 3 Al 2.88-3.09

## Properties
- energy of formation (eV per formula unit) = 0.7
- total moment (μB per atom) = 0.00